1.
Tl2SbPt | the Alexandria database | meta-GGA SCAN | single point on PBEsol structure; relative energy among the computed polymorphs = 0.402 eV/atom; raw formation energy = 0.210 eV per atom; SG = Cmmm, No. 65
1.0
3.279 0.020 0.000
-0.226 3.271 0.000
0.000 0.000 8.551
Pt Sb Tl
1 1 2
direct
0.500 0.500 0.500
0.500 0.500 0.000
0.000 0.000 0.292
0.000 0.000 0.708

2.
Tl3SbPt | the Alexandria database | meta-GGA SCAN | single point on PBEsol structure; raw formation energy = 0.108 eV per atom; SG = Pm-3m, No. 221
1.0
5.247 0.000 0.000
0.000 5.247 0.000
0.000 0.000 5.247
Sb Tl Pt
1 3 1
direct
0.500 0.500 0.500
0.000 0.500 0.000
0.000 0.000 0.500
0.500 0.000 0.000
0.000 0.000 0.000

3.
Tm5SbPt2 | the Alexandria database | meta-GGA SCAN | single point on PBEsol structure; raw formation energy = -1.202 eV per atom; SG = I4/mcm, No. 140
1.0
-1.549 0.375 -7.374
8.217 -0.795 2.093
3.055 -6.827 -0.989
Tm Sb Pt
10 2 4
direct
0.000 0.000 0.000
0.500 0.000 0.500
0.797 0.279 0.018
0.203 0.721 0.982
0.482 0.279 0.703
0.297 0.279 0.203
0.018 0.721 0.482
0.518 0.721 0.297
0.703 0.721 0.797
0.982 0.279 0.518
0.250 0.500 0.750
0.750 0.500 0.250
0.138 0.000 0.638
0.862 0.000 0.362
0.638 0.000 0.862
0.362 0.000 0.138

no.,final energy (eV per cell),theoretical density (g cm⁻³),volume (Å³/cell)
1,-251.3,13.13,91.8
2,-324.0,10.69,144.4
3,-892.8,11.92,377.8